[1]
# PmGdScPd (GGA-PBE, relaxed)
data_PmGdScPd
_cell_length_a 7.388
_cell_length_b 7.388
_cell_length_c 7.388
_cell_angle_alpha 90.00
_cell_angle_beta 90.00
_cell_angle_gamma 90.00
_space_group_name_H-M_alt 'F -4 3 m'
_space_group_IT_number 216
_space_group_name_Hall 'F -4 2 3'
loop_
_atom_site_label
_atom_site_fract_x
_atom_site_fract_y
_atom_site_fract_z
Pm1 0.000 0.000 0.000
Gd1 0.000 0.000 0.500
Sc1 0.250 0.250 0.750
Pd1 0.250 0.250 0.250
# Energy of formation from the pure elements (eV/atom): -0.151
# Volume (Å³ per atom): 25.20
# Energy (eV per cell): -123.84

---

[2]
# DyLuInSn (GGA-PBE, relaxed)
data_DyLuInSn
_cell_length_a 7.482
_cell_length_b 7.482
_cell_length_c 7.482
_cell_angle_alpha 90.00
_cell_angle_beta 90.00
_cell_angle_gamma 90.00
_space_group_name_H-M_alt 'F -4 3 m'
_space_group_IT_number 216
_space_group_name_Hall 'F -4 2 3'
loop_
_atom_site_label
_atom_site_fract_x
_atom_site_fract_y
_atom_site_fract_z
Dy1 0.000 0.000 0.000
Lu1 0.000 0.000 0.500
In1 0.250 0.250 0.750
Sn1 0.250 0.250 0.250
# Energy of formation from the pure elements (eV/atom): -0.460
# Volume (Å³ per atom): 26.18
# Energy (eV per cell): -70.82

---

[3]
# Na2ZrRu (GGA-PBE, relaxed)
data_Na2ZrRu
_cell_length_a 6.787
_cell_length_b 6.787
_cell_length_c 6.787
_cell_angle_alpha 90.00
_cell_angle_beta 90.00
_cell_angle_gamma 90.00
_space_group_name_H-M_alt 'F m -3 m'
_space_group_IT_number 225
_space_group_name_Hall '-F 4 2 3'
loop_
_atom_site_label
_atom_site_fract_x
_atom_site_fract_y
_atom_site_fract_z
Na1 0.250 0.250 0.250
Zr1 0.000 0.000 0.000
Ru1 0.000 0.000 0.500
# Energy of formation from the pure elements (eV/atom): 1.040
# Volume (Å³ per atom): 19.54
# Energy (eV per cell): -65.21

---

What is the formula in the third record? Na2ZrRu

---

Number 3 is which compound? Na2ZrRu

---

Which value of volume does entry 3 give? 19.54 Å³ per atom